No. 1
Material: Cu2PRh
Method: DFT, PBE
State: optimized geometry

The space group is R3m (No. 160, hexagonal axes) and the conventional cell measures 2.8305, 2.8305 and 23.0200 Å, with angles of 90.00, 90.00 and 120.00 degrees. The distinct sites, in fractional coordinates, are Cu at (0.0000, 0.0000, 0.0000), Cu at (0.0000, 0.0000, 0.2486), P at (0.0000, 0.0000, 0.7478) and Rh at (0.0000, 0.0000, 0.4881).

For the total energy, the calculation gives -5.26 eV per atom.



No. 2
Material: Cu2PRh
Method: DFT, PBE
State: optimized geometry

The space group is I-42d (No. 122) and the conventional cell measures 6.8343, 6.8343 and 4.6892 Å, with angles of 90.00, 90.00 and 90.00 degrees. The distinct sites, in fractional coordinates, are Cu at (0.2112, 0.2500, 0.1250), P at (0.0000, 0.0000, 0.0000) and Rh at (0.0000, 0.0000, 0.5000).

For the total energy, the calculation gives -5.20 eV per atom.



No. 3
Material: CuPRh2
Method: DFT, PBE
State: optimized geometry

The space group is R3m (No. 160, hexagonal axes) and the conventional cell measures 2.8089, 2.8089 and 23.9594 Å, with angles of 90.00, 90.00 and 120.00 degrees. The distinct sites, in fractional coordinates, are Cu at (0.0000, 0.0000, 0.0000), P at (0.0000, 0.0000, 0.7439), Rh at (0.0000, 0.0000, 0.2456) and Rh at (0.0000, 0.0000, 0.4824).

For the total energy, the calculation gives -6.07 eV per atom.



No. 4
Material: CuPRuRh
Method: DFT, PBE
State: optimized geometry

The space group is F-43m (No. 216) and the conventional cell measures 5.8832, 5.8832 and 5.8832 Å, with angles of 90.00, 90.00 and 90.00 degrees. The distinct sites, in fractional coordinates, are Cu at (0.0000, 0.0000, 0.0000), P at (0.0000, 0.0000, 0.5000), Ru at (0.2500, 0.2500, 0.7500) and Rh at (0.2500, 0.2500, 0.2500).

For the total energy, the calculation gives -6.72 eV per atom.